{
  "formula": "MnAlCd2",
  "functional": "GGA-PBE",
  "state": "relaxed",
  "lattice_angstrom": [[5.059, -1.478, 0.000], [5.059, 1.478, 0.000], [-0.889, 0.000, 4.914]],
  "species": ["Mn", "Al", "Cd", "Cd"],
  "fractional_positions": [[0.000, 0.000, 0.000], [0.500, 0.500, 0.500], [0.257, 0.257, 0.755], [0.743, 0.743, 0.245]],
  "ef_ev_per_fu": 0.78,
  "n_ef_per_ev_atom": 0.614,
  "sg": "No. 12"
}